## Tb3Al2Ni7 (GGA-PBE)

Data for a relaxed Tb3Al2Ni7 crystal. Values from VASP.

Output
Space group: R-3m
ΔH_f (0 K), eV per atom: -0.519

```
&SYSTEM
  ibrav = 0, nat = 12, ntyp = 3
/
ATOMIC_SPECIES
Ni 58.69 Ni.upf
Tb 158.93 Tb.upf
Al 26.98 Al.upf
ATOMIC_POSITIONS crystal
Ni 0.580 0.580 0.755
Ni 0.500 0.500 0.500
Ni 0.420 0.915 0.245
Tb 0.860 0.860 0.421
Ni 0.085 0.580 0.755
Ni 0.420 0.420 0.245
Ni 0.580 0.085 0.755
Tb 0.140 0.140 0.579
Ni 0.915 0.420 0.245
Al 0.668 0.668 0.997
Al 0.332 0.332 0.003
Tb 0.000 0.000 0.000
CELL_PARAMETERS angstrom
-4.279 0.055 2.894
0.130 -1.806 4.839
0.500 6.646 5.224
```


## Li2YOsPd (GGA-PBE)

Data for a relaxed Li2YOsPd crystal. Values from VASP.

Output
Space group: P4/mmm
ΔH_f (0 K), eV per atom: 0.466

```
&SYSTEM
  ibrav = 0, nat = 5, ntyp = 4
/
ATOMIC_SPECIES
Li 6.94 Li.upf
Pd 106.42 Pd.upf
Y 88.91 Y.upf
Os 190.23 Os.upf
ATOMIC_POSITIONS crystal
Li 0.500 0.000 0.000
Li 0.000 0.000 0.500
Pd 0.000 0.500 0.000
Y 0.500 0.500 0.500
Os 0.000 0.000 0.000
CELL_PARAMETERS angstrom
4.549 0.000 0.000
0.000 4.863 0.000
0.000 0.000 4.549
```


## Hg3BiAs (GGA-PBE)

Data for a relaxed Hg3BiAs crystal. Values from VASP.

Output
Space group: Pm-3m
Relative energy among the computed polymorphs, meV per atom: 247
ΔH_f (0 K), eV per atom: 0.618

```
&SYSTEM
  ibrav = 0, nat = 5, ntyp = 3
/
ATOMIC_SPECIES
Hg 200.59 Hg.upf
Bi 208.98 Bi.upf
As 74.92 As.upf
ATOMIC_POSITIONS crystal
Hg 0.000 0.500 0.000
Bi 0.000 0.000 0.000
Hg 0.000 0.000 0.500
Hg 0.500 0.000 0.000
As 0.500 0.500 0.500
CELL_PARAMETERS angstrom
5.865 0.000 0.000
0.000 5.865 0.000
0.000 0.000 5.865
```


## CsInP2Cl (GGA-PBE)

Data for a relaxed CsInP2Cl crystal. Values from VASP.

Output
Space group: P4/mmm
ΔE_f (raw), meV/atom: 974
Relative energy among the computed polymorphs, meV per atom: 974

```
&SYSTEM
  ibrav = 0, nat = 5, ntyp = 4
/
ATOMIC_SPECIES
P 30.97 P.upf
Cs 132.91 Cs.upf
In 114.82 In.upf
Cl 35.45 Cl.upf
ATOMIC_POSITIONS crystal
P 0.000 0.500 0.000
P 0.500 0.000 0.000
Cs 0.000 0.000 0.000
In 0.500 0.500 0.500
Cl 0.000 0.000 0.500
CELL_PARAMETERS angstrom
-3.499 3.746 2.714
-4.591 -2.394 -2.615
-0.619 -4.054 4.798
```


## NdErN (GGA-PBE)

Data for a relaxed NdErN crystal. Values from VASP.

Output
Space group: F-43m
ΔE_f (raw), meV/atom: -275
Relative energy among the computed polymorphs, meV per atom: 684

```
&SYSTEM
  ibrav = 0, nat = 3, ntyp = 3
/
ATOMIC_SPECIES
Nd 144.24 Nd.upf
Er 167.26 Er.upf
N 14.01 N.upf
ATOMIC_POSITIONS crystal
Nd 0.000 0.000 0.000
Er 0.500 0.500 0.500
N 0.250 0.250 0.250
CELL_PARAMETERS angstrom
-4.157 0.874 0.780
-2.069 -2.028 3.203
-1.119 2.170 3.563
```


## BaMg14Si (GGA-PBE)

Data for a relaxed BaMg14Si crystal. Values from VASP.

Output
Space group: P-6m2
ΔE_f (raw), meV/atom: 98
Relative energy among the computed polymorphs, meV per atom: 40

```
&SYSTEM
  ibrav = 0, nat = 16, ntyp = 3
/
ATOMIC_SPECIES
Mg 24.30 Mg.upf
Ba 137.33 Ba.upf
Si 28.09 Si.upf
ATOMIC_POSITIONS crystal
Mg 0.166 0.332 0.225
Mg 0.667 0.333 0.260
Mg 0.492 0.508 0.500
Mg 0.508 0.492 0.000
Mg 0.985 0.492 0.000
Mg 0.508 0.015 0.000
Mg 0.668 0.834 0.775
Ba 0.000 0.000 0.500
Si 0.000 0.000 0.000
Mg 0.166 0.332 0.775
Mg 0.016 0.508 0.500
Mg 0.166 0.834 0.775
Mg 0.668 0.834 0.225
Mg 0.492 0.984 0.500
Mg 0.166 0.834 0.225
Mg 0.667 0.333 0.740
CELL_PARAMETERS angstrom
0.766 6.450 -1.053
-6.035 -2.521 0.727
0.566 1.611 10.282
```


Question: Which formula does entry 1 have?
Answer: Tb3Al2Ni7


Question: Number 3 is which compound?
Answer: Hg3BiAs